TlVAsF6 | Alexandria via LeMat-Bulk | GGA+U | optimized geometry; space group = P1; E_tot = -5.00 eV/atom
1.0
5.448 0.000 0.000
-0.001 5.628 0.000
-2.558 -0.278 5.437
Tl V As F
1 1 1 6
Direct
0.000 0.000 0.000 Tl
0.343 0.526 0.692 V
0.670 0.488 0.314 As
0.108 0.295 0.438 F
0.307 0.394 0.985 F
0.428 0.667 0.405 F
0.474 0.821 0.872 F
0.676 0.368 0.790 F
0.960 0.681 0.583 F